1.
Below is a relaxed TeH2S crystal, with properties calculated at the PBE-GGA level.

POSCAR file:
```
TeH2S
1.0
-0.269 -5.290 1.210
1.859 1.048 4.997
-2.823 -1.652 4.351
H S Te
4 2 2
direct
0.375 0.125 0.250
0.375 0.625 0.250
0.375 0.625 0.750
0.875 0.625 0.750
0.500 0.500 0.000
0.250 0.750 0.500
0.000 0.000 0.000
0.750 0.250 0.500
```

Properties
ρ, g/cm³: 4.716
Space group: I4_1/amd, No. 141
Energy, eV/atom: -3.21


2.
Below is a relaxed TeHS crystal, with properties calculated at the PBE-GGA level.

POSCAR file:
```
TeHS
1.0
-3.540 -1.250 -1.482
0.099 -3.197 2.461
-0.231 4.362 2.367
H S Te
1 1 1
direct
0.334 0.334 0.668
0.505 0.505 0.009
0.011 0.011 0.023
```

Properties
ρ, g/cm³: 4.027
Space group: I4mm, No. 107
Energy, eV/atom: -3.43


3.
Below is a relaxed Te2H2S crystal, with properties calculated at the PBE-GGA level.

POSCAR file:
```
Te2H2S
1.0
-2.855 -1.639 3.051
-2.709 -1.407 -3.291
-0.735 -5.255 -0.210
H S Te
2 1 2
direct
0.320 0.320 0.359
0.680 0.680 0.641
0.000 0.000 0.000
0.750 0.250 0.500
0.250 0.750 0.500
```

Properties
ρ, g/cm³: 5.601
Space group: I4/mmm, No. 139
Energy, eV/atom: -2.67


4.
Below is a relaxed TeH2S crystal, with properties calculated at the PBE-GGA level.

POSCAR file:
```
TeH2S
1.0
4.280 -0.030 0.010
1.556 4.520 -0.002
1.936 1.687 4.912
Te H S
1 2 1
direct
0.105 0.542 0.320
0.685 0.605 0.484
0.042 0.161 0.047
0.979 0.482 0.949
```

Properties
ρ, g/cm³: 2.820
Space group: P1, No. 1
Energy, eV/atom: -3.43


5.
Below is a relaxed TeHS3 crystal, with properties calculated at the PBE-GGA level.

POSCAR file:
```
TeHS3
1.0
-2.053 -1.261 -3.489
-2.954 -1.856 2.409
-2.244 3.597 0.020
H S Te
1 3 1
direct
0.000 0.000 0.000
0.000 0.500 0.000
0.000 0.000 0.500
0.500 0.000 0.000
0.500 0.500 0.500
```

Properties
ρ, g/cm³: 4.899
Space group: Pm-3m, No. 221
Energy, eV/atom: -2.85


6.
Below is a relaxed Te2H2S crystal, with properties calculated at the PBE-GGA level.

POSCAR file:
```
Te2H2S
1.0
7.235 0.000 0.000
0.000 7.235 0.000
0.000 0.000 3.494
H S Te
4 2 4
direct
0.367 0.867 0.000
0.867 0.633 0.000
0.633 0.133 0.000
0.133 0.367 0.000
0.000 0.000 0.000
0.500 0.500 0.000
0.283 0.783 0.500
0.783 0.717 0.500
0.717 0.217 0.500
0.217 0.283 0.500
```

Properties
ρ, g/cm³: 5.252
Space group: P4/mbm, No. 127
Energy, eV/atom: -2.87